A plane-wave DFT calculation with PBE-GGA was carried out for a relaxed DyZn3Ag crystal.

As for the symmetry: Imm2, No. 44. Its formation energy is -1.238 eV/f.u. The calculation puts the density of states at the Fermi level at 4.44 states/eV per cell. As for the theoretical density: 8.409 g cm⁻³. The value obtained for the total energy is -12.513 eV/f.u.

Lattice parameters (Å, degrees): 4.717 6.249 6.252 90.00 90.00 90.00
Element x y z (fractional)
Dy: 0.000 0.000 0.000
Dy: 0.500 0.500 0.500
Zn: 0.000 0.196 0.499
Zn: 0.000 0.500 0.790
Zn: 0.000 0.804 0.499
Zn: 0.500 0.000 0.290
Zn: 0.500 0.304 0.999
Zn: 0.500 0.696 0.999
Ag: 0.000 0.500 0.195
Ag: 0.500 0.000 0.695